(1)
This record from Alexandria via LeMat-Bulk describes a relaxed structure of CaLuGaGe. The functional is PBE.

The value obtained for the formation energy is -0.481 eV per atom.

Lattice parameters (Å, degrees): 5.0496 5.0496 5.0496 60.00 60.00 60.00
Last column: nearest neighbours and their distance in Å.
Atoms (fractional coordinates):
Ge (0.2500, 0.2500, 0.2500)  4 Lu 3.09, 4 Ca 3.09
Lu (0.5000, 0.5000, 0.5000)  4 Ga 3.09, 4 Ge 3.09
Ca (0.0000, 0.0000, 0.0000)  4 Ge 3.09, 4 Ga 3.09
Ga (0.7500, 0.7500, 0.7500)  4 Ca 3.09, 4 Lu 3.09

=====

(2)
This record from Alexandria via LeMat-Bulk describes a relaxed structure of CaMgGaGe. The functional is PBE.

The value obtained for the formation energy is -0.302 eV per atom.

Lattice parameters (Å, degrees): 4.9728 4.9728 4.9728 60.00 60.00 60.00
Last column: nearest neighbours and their distance in Å.
Atoms (fractional coordinates):
Mg (0.5000, 0.5000, 0.5000)  4 Ge 3.05, 4 Ga 3.05
Ge (0.2500, 0.2500, 0.2500)  4 Mg 3.05, 4 Ca 3.05
Ca (0.0000, 0.0000, 0.0000)  4 Ga 3.05, 4 Ge 3.05
Ga (0.7500, 0.7500, 0.7500)  4 Ca 3.05, 4 Mg 3.05

=====

(3)
This record from Alexandria via LeMat-Bulk describes a relaxed structure of CaMnGa2Ge. The functional is PBE.

The value obtained for the formation energy is -0.236 eV per atom.

Lattice parameters (Å, degrees): 4.6457 4.6457 4.5790 90.00 90.00 90.00
Last column: nearest neighbours and their distance in Å.
Atoms (fractional coordinates):
Ge (0.0000, 0.0000, 0.5000)  2 Mn 2.29
Mn (0.0000, 0.0000, 0.0000)  2 Ge 2.29, 4 Ga 2.32
Ca (0.5000, 0.5000, 0.5000)  8 Ga 3.26, 4 Ge 3.28
Ga (0.0000, 0.5000, 0.0000)  2 Mn 2.32
Ga (0.5000, 0.0000, 0.0000)  2 Mn 2.32

=====

no.,magnetic moment (μB per atom)
1,0.000
2,0.000
3,0.124